Entry 1:
The following is a PBE calculation of an optimized crystal structure of Tb5PuAs6, from Alexandria via LeMat-Bulk.

DFT total energy = -165.46 eV for the cell shown
ΔE_f = -1.446 eV/atom

The structure in CIF format:
```
data_Tb5PuAs6
_chemical_formula_sum 'Tb10 Pu2 As12'
_cell_length_a 7.165
_cell_length_b 12.409
_cell_length_c 7.165
_cell_angle_alpha 90.00
_cell_angle_beta 109.47
_cell_angle_gamma 90.00
_symmetry_space_group_name_H-M 'C 1 2/m 1'
_symmetry_Int_Tables_number 12
_symmetry_space_group_name_Hall '-C 2y'
loop_
_atom_site_label
_atom_site_fract_x
_atom_site_fract_y
_atom_site_fract_z
Tb1 0.000 0.000 0.000
Tb2 0.000 0.167 0.500
Tb3 0.000 0.333 0.000
Pu1 0.000 0.500 0.500
As1 0.248 0.500 0.251
As2 0.249 0.334 0.749
```

=====

Entry 2:
The following is a PBE calculation of an optimized crystal structure of InAsN2O, from Alexandria via LeMat-Bulk.

DFT total energy = -21.98 eV for the cell shown

The structure in CIF format:
```
data_InAsN2O
_chemical_formula_sum 'In1 As1 N2 O1'
_cell_length_a 4.299
_cell_length_b 4.299
_cell_length_c 4.098
_cell_angle_alpha 90.00
_cell_angle_beta 90.00
_cell_angle_gamma 90.00
_symmetry_space_group_name_H-M 'P 4/m m m'
_symmetry_Int_Tables_number 123
_symmetry_space_group_name_Hall '-P 4 2'
loop_
_atom_site_label
_atom_site_fract_x
_atom_site_fract_y
_atom_site_fract_z
In1 0.000 0.000 0.000
As1 0.500 0.500 0.500
N1 0.000 0.500 0.000
O1 0.000 0.000 0.500
```

=====

Entry 3:
The following is a PBE calculation of an optimized crystal structure of NpAl2Au4, from Alexandria via LeMat-Bulk.

DFT total energy = -142.76 eV for the cell shown
ΔE_f = -0.308 eV/atom

The structure in CIF format:
```
data_NpAl2Au4
_chemical_formula_sum 'Np4 Al8 Au16'
_cell_length_a 17.644
_cell_length_b 4.552
_cell_length_c 6.749
_cell_angle_alpha 90.00
_cell_angle_beta 90.00
_cell_angle_gamma 90.00
_symmetry_space_group_name_H-M 'P n m a'
_symmetry_Int_Tables_number 62
_symmetry_space_group_name_Hall '-P 2ac 2n'
loop_
_atom_site_label
_atom_site_fract_x
_atom_site_fract_y
_atom_site_fract_z
Np1 0.138 0.250 0.014
Al1 0.036 0.750 0.234
Al2 0.215 0.250 0.538
Au1 0.037 0.750 0.826
Au2 0.071 0.250 0.497
Au3 0.180 0.750 0.316
Au4 0.198 0.750 0.739
```

=====

Entry 4:
The following is a PBE calculation of an optimized crystal structure of GdTmV4, from Alexandria via LeMat-Bulk.

DFT total energy = -211.64 eV for the cell shown
ΔE_f = 0.353 eV/atom

The structure in CIF format:
```
data_GdTmV4
_chemical_formula_sum 'Gd4 Tm4 V16'
_cell_length_a 7.619
_cell_length_b 7.619
_cell_length_c 7.619
_cell_angle_alpha 90.00
_cell_angle_beta 90.00
_cell_angle_gamma 90.00
_symmetry_space_group_name_H-M 'F -4 3 m'
_symmetry_Int_Tables_number 216
_symmetry_space_group_name_Hall 'F -4 2 3'
loop_
_atom_site_label
_atom_site_fract_x
_atom_site_fract_y
_atom_site_fract_z
Gd1 0.000 0.000 0.000
Tm1 0.250 0.250 0.750
V1 0.120 0.120 0.380
```

=====

Entry 5:
The following is a PBE calculation of an optimized crystal structure of Mg2Al2Cu, from Alexandria via LeMat-Bulk.

DFT total energy = -58.60 eV for the cell shown
ΔE_f = 0.024 eV/atom

The structure in CIF format:
```
data_Mg2Al2Cu
_chemical_formula_sum 'Mg8 Al8 Cu4'
_cell_length_a 5.755
_cell_length_b 12.022
_cell_length_c 5.287
_cell_angle_alpha 90.00
_cell_angle_beta 90.00
_cell_angle_gamma 90.00
_symmetry_space_group_name_H-M 'I b a m'
_symmetry_Int_Tables_number 72
_symmetry_space_group_name_Hall '-I 2 2c'
loop_
_atom_site_label
_atom_site_fract_x
_atom_site_fract_y
_atom_site_fract_z
Mg1 0.149 0.098 0.000
Al1 0.141 0.330 0.000
Cu1 0.000 0.500 0.250
```

=====

Entry 6:
The following is a PBE calculation of an optimized crystal structure of Rb2MoIr, from Alexandria via LeMat-Bulk.

DFT total energy = -67.62 eV for the cell shown
ΔE_f = 1.180 eV/atom

The structure in CIF format:
```
data_Rb2MoIr
_chemical_formula_sum 'Rb8 Mo4 Ir4'
_cell_length_a 12.820
_cell_length_b 12.820
_cell_length_c 4.794
_cell_angle_alpha 90.00
_cell_angle_beta 90.00
_cell_angle_gamma 90.00
_symmetry_space_group_name_H-M 'I -4 2 d'
_symmetry_Int_Tables_number 122
_symmetry_space_group_name_Hall 'I -4 2bw'
loop_
_atom_site_label
_atom_site_fract_x
_atom_site_fract_y
_atom_site_fract_z
Rb1 0.072 0.750 0.125
Mo1 0.000 0.000 0.500
Ir1 0.000 0.000 0.000
```

=====

Entry 7:
The following is a PBE calculation of an optimized crystal structure of Pr6Os2RhCl3, from Alexandria via LeMat-Bulk.

DFT total energy = -149.27 eV for the cell shown

The structure in CIF format:
```
data_Pr6Os2RhCl3
_chemical_formula_sum 'Pr12 Os4 Rh2 Cl6'
_cell_length_a 7.136
_cell_length_b 12.369
_cell_length_c 8.001
_cell_angle_alpha 90.00
_cell_angle_beta 107.29
_cell_angle_gamma 90.00
_symmetry_space_group_name_H-M 'C 1 2/m 1'
_symmetry_Int_Tables_number 12
_symmetry_space_group_name_Hall '-C 2y'
loop_
_atom_site_label
_atom_site_fract_x
_atom_site_fract_y
_atom_site_fract_z
Pr1 0.230 0.000 0.207
Pr2 0.238 0.331 0.206
Os1 0.000 0.166 0.000
Rh1 0.000 0.500 0.000
Cl1 0.000 0.000 0.500
Cl2 0.000 0.331 0.500
```

=====

The following density of states at the Fermi level values (in states/eV per cell) correspond, in order, to the records above: 29.3, 2.7, 53.0, 52.8, 6.3, 16.6, 11.7.